Entry 1:
! PBE Mn4VRh, relaxed; values from VASP
&SYSTEM
  ibrav = 0, nat = 6, ntyp = 3
/
ATOMIC_SPECIES
Mn 54.94 Mn.upf
V 50.94 V.upf
Rh 102.91 Rh.upf
ATOMIC_POSITIONS angstrom
Mn 2.4751 2.4751 2.4751
Mn 4.1037 4.1037 2.4751
Mn 4.1037 2.4751 4.1037
Mn 2.4751 4.1037 4.1037
V 0.0000 0.0000 0.0000
Rh 4.9341 4.9341 4.9341
CELL_PARAMETERS angstrom
0.0000 3.2894 3.2894
3.2894 0.0000 3.2894
3.2894 3.2894 0.0000
! DFT total energy, eV/atom: -8.914
! Space group: F-43m (216)


Entry 2:
! PBE Mn2VRh3, relaxed; values from VASP
&SYSTEM
  ibrav = 0, nat = 6, ntyp = 3
/
ATOMIC_SPECIES
Mn 54.94 Mn.upf
V 50.94 V.upf
Rh 102.91 Rh.upf
ATOMIC_POSITIONS angstrom
Mn 0.0000 0.0000 1.5155
Mn 0.0000 0.0000 7.7014
V 0.0000 0.0000 4.6085
Rh 1.5165 1.5165 0.0000
Rh 1.5165 1.5165 3.1166
Rh 1.5165 1.5165 6.1003
CELL_PARAMETERS angstrom
3.0330 0.0000 0.0000
0.0000 3.0330 0.0000
0.0000 0.0000 9.2170
! DFT total energy, eV/atom: -8.483
! Space group: P4/mmm (123)


Entry 3:
! PBE Mn2VRh, relaxed; values from VASP
&SYSTEM
  ibrav = 0, nat = 16, ntyp = 3
/
ATOMIC_SPECIES
Mn 54.94 Mn.upf
V 50.94 V.upf
Rh 102.91 Rh.upf
ATOMIC_POSITIONS angstrom
Mn 0.6640 0.8765 2.1920
Mn 0.8765 2.4170 6.5759
Mn 0.8765 2.8421 15.3437
Mn 1.0890 0.8765 10.9598
Mn 2.4170 2.6296 10.9598
Mn 2.6296 0.6640 15.3437
Mn 2.6296 1.0890 6.5759
Mn 2.8421 2.6296 2.1920
V 0.0000 0.0000 0.0000
V 0.0000 1.7530 4.3839
V 1.7530 0.0000 13.1517
V 1.7530 1.7530 8.7678
Rh 0.0000 0.0000 8.7678
Rh 0.0000 1.7530 13.1517
Rh 1.7530 0.0000 4.3839
Rh 1.7530 1.7530 0.0000
CELL_PARAMETERS angstrom
3.5061 0.0000 0.0000
0.0000 3.5061 0.0000
0.0000 0.0000 17.5357
! DFT total energy, eV/atom: -8.250
! Space group: I-42d (122)


Entry 4:
! PBE MnV6Rh, relaxed; values from VASP
&SYSTEM
  ibrav = 0, nat = 16, ntyp = 3
/
ATOMIC_SPECIES
Mn 54.94 Mn.upf
V 50.94 V.upf
Rh 102.91 Rh.upf
ATOMIC_POSITIONS angstrom
Mn 0.0000 0.0000 0.0000
Mn 0.0000 2.9744 4.2022
V 0.0000 0.0000 4.1705
V 0.0000 1.4307 2.0852
V 0.0000 1.5437 6.2874
V 0.0000 2.9744 8.3727
V 0.0000 4.4051 6.2874
V 0.0000 4.5181 2.0852
V 2.0854 0.0000 2.0906
V 2.0854 1.4679 8.3895
V 2.0854 1.5064 4.1873
V 2.0854 2.9744 6.2928
V 2.0854 4.4423 4.1873
V 2.0854 4.4808 8.3895
Rh 2.0854 0.0000 6.2885
Rh 2.0854 2.9744 2.0863
CELL_PARAMETERS angstrom
4.1707 0.0000 0.0000
0.0000 5.9488 0.0000
0.0000 0.0000 8.4043
! DFT total energy, eV/atom: -9.125
! Space group: Amm2 (38)


Entry 5:
! PBE Mn2VRh, relaxed; values from VASP
&SYSTEM
  ibrav = 0, nat = 4, ntyp = 3
/
ATOMIC_SPECIES
Mn 54.94 Mn.upf
V 50.94 V.upf
Rh 102.91 Rh.upf
ATOMIC_POSITIONS angstrom
Mn 0.0000 0.0000 1.4056
Mn 0.0000 0.0000 4.5249
V 1.4963 1.4963 0.0000
Rh 1.4963 1.4963 2.9652
CELL_PARAMETERS angstrom
2.9927 0.0000 0.0000
0.0000 2.9927 0.0000
0.0000 0.0000 5.9305
! DFT total energy, eV/atom: -8.838
! Space group: P4/mmm (123)


Entry 6:
! PBE Mn2VRh, relaxed; values from VASP
&SYSTEM
  ibrav = 0, nat = 4, ntyp = 3
/
ATOMIC_SPECIES
Mn 54.94 Mn.upf
V 50.94 V.upf
Rh 102.91 Rh.upf
ATOMIC_POSITIONS angstrom
Mn 0.0000 2.0933 0.0000
Mn 2.0933 0.0000 0.0000
V 0.0000 0.0000 1.5312
Rh 2.0933 2.0933 1.5312
CELL_PARAMETERS angstrom
4.1866 0.0000 0.0000
0.0000 4.1866 0.0000
0.0000 0.0000 3.0624
! DFT total energy, eV/atom: -8.893
! Space group: P4/mmm (123)


Entry 7:
! PBE MnV2Rh, relaxed; values from VASP
&SYSTEM
  ibrav = 0, nat = 4, ntyp = 3
/
ATOMIC_SPECIES
Mn 54.94 Mn.upf
V 50.94 V.upf
Rh 102.91 Rh.upf
ATOMIC_POSITIONS angstrom
Mn 0.0000 0.0000 0.0000
V 1.4236 1.4236 1.4290
V 1.4236 1.4236 4.9178
Rh 0.0000 0.0000 3.1734
CELL_PARAMETERS angstrom
2.8473 0.0000 0.0000
0.0000 2.8473 0.0000
0.0000 0.0000 6.3469
! DFT total energy, eV/atom: -8.944
! Space group: P4/mmm (123)


Entry 8:
! PBE MnVRh, relaxed; values from VASP
&SYSTEM
  ibrav = 0, nat = 6, ntyp = 3
/
ATOMIC_SPECIES
Mn 54.94 Mn.upf
V 50.94 V.upf
Rh 102.91 Rh.upf
ATOMIC_POSITIONS angstrom
Mn 0.0000 0.0000 0.0000
Mn 1.5058 1.5058 4.4868
V 0.0000 0.0000 5.8504
V 1.5058 1.5058 1.3636
Rh 0.0000 0.0000 2.8594
Rh 1.5058 1.5058 7.3462
CELL_PARAMETERS angstrom
3.0116 0.0000 0.0000
0.0000 3.0116 0.0000
0.0000 0.0000 8.9736
! DFT total energy, eV/atom: -8.733
! Space group: I4mm (107)


Entry 9:
! PBE MnVRh4, relaxed; values from VASP
&SYSTEM
  ibrav = 0, nat = 12, ntyp = 3
/
ATOMIC_SPECIES
Mn 54.94 Mn.upf
V 50.94 V.upf
Rh 102.91 Rh.upf
ATOMIC_POSITIONS angstrom
Mn 0.0000 0.0000 0.0000
Mn 4.9352 1.3821 0.0000
V -0.0378 1.3821 4.3123
V 4.8975 0.0000 4.3123
Rh 1.0772 1.3821 1.9770
Rh 2.6102 0.0000 0.2267
Rh 2.1576 0.0000 4.1253
Rh 3.7489 1.3821 2.4413
Rh 6.0125 0.0000 1.9770
Rh 7.5454 1.3821 0.2267
Rh 7.0928 1.3821 4.1253
Rh 8.6841 0.0000 2.4413
CELL_PARAMETERS angstrom
9.8705 0.0000 0.0000
0.0000 2.7641 0.0000
-1.9001 0.0000 6.1563
! DFT total energy, eV/atom: -8.162
! Space group: Cm (8)


Entry 10:
! PBE MnV4Rh2, relaxed; values from VASP
&SYSTEM
  ibrav = 0, nat = 14, ntyp = 3
/
ATOMIC_SPECIES
Mn 54.94 Mn.upf
V 50.94 V.upf
Rh 102.91 Rh.upf
ATOMIC_POSITIONS angstrom
Mn 0.0000 0.0000 0.0000
Mn 2.0987 2.0987 6.1910
V 0.0000 0.0000 2.2808
V 0.0000 0.0000 10.1012
V 0.0000 2.0987 0.0000
V 0.0000 2.0987 6.1910
V 2.0987 0.0000 0.0000
V 2.0987 0.0000 6.1910
V 2.0987 2.0987 3.9102
V 2.0987 2.0987 8.4718
Rh 0.0000 0.0000 4.6073
Rh 0.0000 0.0000 7.7747
Rh 2.0987 2.0987 1.5837
Rh 2.0987 2.0987 10.7983
CELL_PARAMETERS angstrom
4.1974 0.0000 0.0000
0.0000 4.1974 0.0000
0.0000 0.0000 12.3820
! DFT total energy, eV/atom: -8.095
! Space group: I4/mmm (139)


Entry 11:
! PBE Mn4V5Rh, relaxed; values from VASP
&SYSTEM
  ibrav = 0, nat = 10, ntyp = 3
/
ATOMIC_SPECIES
Mn 54.94 Mn.upf
V 50.94 V.upf
Rh 102.91 Rh.upf
ATOMIC_POSITIONS angstrom
Mn 0.0000 0.0000 1.4349
Mn 0.0000 0.0000 4.3137
Mn 0.0000 0.0000 10.4655
Mn 0.0000 0.0000 13.3442
V 1.4397 1.4397 0.0000
V 1.4397 1.4397 2.8616
V 1.4397 1.4397 5.6866
V 1.4397 1.4397 9.0925
V 1.4397 1.4397 11.9175
Rh 0.0000 0.0000 7.3896
CELL_PARAMETERS angstrom
2.8794 0.0000 0.0000
0.0000 2.8794 0.0000
0.0000 0.0000 14.7791
! DFT total energy, eV/atom: -9.231
! Space group: P4/mmm (123)


Entry 12:
! PBE MnV2Rh4, relaxed; values from VASP
&SYSTEM
  ibrav = 0, nat = 14, ntyp = 3
/
ATOMIC_SPECIES
Mn 54.94 Mn.upf
V 50.94 V.upf
Rh 102.91 Rh.upf
ATOMIC_POSITIONS angstrom
Mn 0.0000 0.0000 0.0000
Mn -0.1126 3.1540 3.4965
V -1.2372 0.9526 4.3183
V 1.2976 1.6370 1.6857
V 1.3847 0.9317 4.3890
V 2.8199 -0.7748 2.4590
Rh 0.1925 -0.5425 2.5684
Rh -0.0138 3.6727 0.8809
Rh 0.0408 -1.1920 5.1945
Rh -0.0250 2.5552 6.0425
Rh 2.6659 3.6991 0.8335
Rh 2.7139 -1.1382 5.0305
Rh 2.5649 3.0540 3.5034
Rh 3.9455 1.5022 1.8394
CELL_PARAMETERS angstrom
5.3572 0.0000 0.0000
-1.4666 5.9192 0.0000
-1.2557 -3.3134 6.1041
! DFT total energy, eV/atom: -8.375
! Space group: P1 (1)